{"formula": "AlFe", "functional": "PBE", "state": "relaxed", "formation_energy_mev_per_atom": -276.8, "final_energy_ev_per_atom": -6.38, "m_tot_mub_per_cell": 3.7, "lattice_angstrom": [[-1.569, 1.985, 4.065], [1.569, -1.985, 4.065], [1.569, 1.985, -4.065]], "species": ["Al", "Al", "Fe", "Fe"], "frac_coords": [[0.365, 0.115, 0.250], [0.635, 0.885, 0.750], [0.114, 0.364, 0.750], [0.886, 0.636, 0.250]]}